#one
Entry from the Alexandria database: YBrCl2 after structural relaxation (PBE).

a b c (Å): 3.661 6.950 6.950
angles (deg): 61.82 74.75 74.77
Positions (direct):
Br (0.250, 0.168, 0.332)
Cl (0.100, 0.882, 0.918)
Y (0.750, 0.867, 0.633)
Cl (0.400, 0.582, 0.618)

magnetization: 0.00 μB per cell
mass density: 2.683 g/cm3
symmetry: No. 44


#two
Entry from the Alexandria database: YBrCl2 after structural relaxation (PBE).

a b c (Å): 7.509 7.509 5.425
angles (deg): 68.76 68.76 28.10
Positions (direct):
Cl (0.394, 0.394, 0.605)
Y (0.750, 0.750, 0.750)
Br (0.250, 0.250, 0.250)
Cl (0.106, 0.106, 0.895)

magnetization: 0.00 μB per cell
mass density: 2.979 g/cm3
symmetry: No. 12


#three
Entry from the Alexandria database: YBrCl2 after structural relaxation (PBE).

a b c (Å): 3.546 3.546 7.454
angles (deg): 90.00 90.00 90.00
Positions (direct):
Y (0.500, 0.500, 0.250)
Cl (0.000, 0.000, 0.055)
Br (0.500, 0.500, 0.750)
Cl (0.000, 0.000, 0.445)

magnetization: 0.00 μB per cell
mass density: 4.248 g/cm3
symmetry: No. 123


The energy of each structure relative to the most stable one, in meV per atom, is as follows: #one 0; #two 190; #three 695.


#one
Entry from the Alexandria database: YBrCl2 after structural relaxation (PBE).

a b c (Å): 5.309 5.309 5.309
angles (deg): 128.49 128.49 75.83
Positions (direct):
Y (0.250, 0.750, 0.500)
Cl (0.000, 0.000, 0.000)
Cl (0.500, 0.500, 0.000)
Br (0.750, 0.250, 0.500)

magnetization: 0.00 μB per cell
mass density: 4.465 g/cm3
symmetry: No. 139


#two
Entry from the Alexandria database: YBrCl2 after structural relaxation (PBE).

a b c (Å): 3.991 7.246 7.246
angles (deg): 45.59 90.00 90.00
Positions (direct):
Br (0.500, 0.750, 0.750)
Cl (0.000, 0.383, 0.382)
Cl (0.000, 0.117, 0.118)
Y (0.500, 0.250, 0.250)

magnetization: 0.00 μB per cell
mass density: 2.659 g/cm3
symmetry: No. 65


#three
Entry from the Alexandria database: YBrCl2 after structural relaxation (PBE).

a b c (Å): 10.259 10.259 10.259
angles (deg): 21.46 21.46 21.46
Last column: magnetic moment on the atom in μB.
Positions (direct):
Y (0.500, 0.500, 0.500)  -0.05
Cl (0.886, 0.886, 0.886)  0.00
Cl (0.114, 0.114, 0.114)  0.00
Br (0.000, 0.000, 0.000)  0.47

magnetization: 0.55 μB per cell
mass density: 3.143 g/cm3
symmetry: No. 166


#four
Entry from the Alexandria database: YBrCl2 after structural relaxation (PBE).

a b c (Å): 4.671 5.715 4.668
angles (deg): 69.07 82.80 110.95
Positions (direct):
Br (0.500, 0.500, 0.000)
Y (0.000, 0.500, 0.500)
Cl (0.000, 0.000, 0.000)
Cl (0.500, 0.000, 0.500)

magnetization: 0.00 μB per cell
mass density: 3.827 g/cm3
symmetry: No. 69


The energy of each structure relative to the most stable one, in meV per atom, is as follows: #one 604; #two 0; #three 743; #four 940.


#one
Entry from the Alexandria database: YBrCl2 after structural relaxation (PBE).

a b c (Å): 3.822 3.822 7.749
angles (deg): 90.00 90.00 90.00
Positions (direct):
Y (0.000, 0.000, 0.424)
Cl (0.000, 0.000, 0.102)
Cl (0.500, 0.500, 0.291)
Br (0.500, 0.500, 0.683)

magnetization: 0.00 μB per cell
mass density: 3.517 g/cm3
symmetry: No. 99


#two
Entry from the Alexandria database: YBrCl2 after structural relaxation (PBE).

a b c (Å): 6.380 6.380 6.380
angles (deg): 42.14 42.14 42.14
Positions (direct):
Cl (0.535, 0.535, 0.535)
Cl (0.965, 0.965, 0.965)
Y (0.250, 0.250, 0.250)
Br (0.750, 0.750, 0.750)

magnetization: 0.00 μB per cell
mass density: 3.762 g/cm3
symmetry: No. 166


The energy of each structure relative to the most stable one, in meV per atom, is as follows: #one 109; #two 0.


#one
Entry from the Alexandria database: YBr2Cl after structural relaxation (PBE).

a b c (Å): 5.124 5.124 5.124
angles (deg): 60.00 60.00 60.00
Positions (direct):
Br (0.250, 0.250, 0.250)
Cl (0.000, 0.000, 0.000)
Y (0.500, 0.500, 0.500)
Br (0.750, 0.750, 0.750)

magnetization: 0.00 μB per cell
mass density: 4.959 g/cm3
symmetry: No. 225


#two
Entry from the Alexandria database: YBr2Cl after structural relaxation (PBE).

a b c (Å): 5.406 5.406 5.406
angles (deg): 128.03 128.03 76.58
Positions (direct):
Br (0.000, 0.000, 0.000)
Br (0.250, 0.750, 0.500)
Cl (0.500, 0.500, 0.000)
Y (0.750, 0.250, 0.500)

magnetization: 0.00 μB per cell
mass density: 4.956 g/cm3
symmetry: No. 119


The energy of each structure relative to the most stable one, in meV per atom, is as follows: #one 0; #two 40.


#one
Entry from the Alexandria database: Y2BrCl2 after structural relaxation (PBE).

a b c (Å): 3.832 8.725 10.073
angles (deg): 103.73 100.97 90.00
Last column: magnetic moment on the atom in μB.
Positions (direct):
Y (0.825, 0.094, 0.651)  0.11
Y (0.681, 0.279, 0.361)  0.11
Br (0.174, 0.535, 0.349)  0.00
Y (0.319, 0.721, 0.639)  0.11
Br (0.826, 0.465, 0.651)  0.00
Cl (0.584, 0.778, 0.167)  0.01
Cl (0.416, 0.222, 0.833)  0.01
Cl (0.092, 0.132, 0.183)  0.00
Cl (0.908, 0.868, 0.817)  0.00
Y (0.175, 0.906, 0.349)  0.11

magnetization: 0.92 μB per cell
mass density: 3.401 g/cm3
symmetry: No. 12


#two
Entry from the Alexandria database: Y2BrCl2 after structural relaxation (PBE).

a b c (Å): 8.116 8.116 3.459
angles (deg): 90.00 90.00 90.00
Positions (direct):
Cl (0.863, 0.363, 0.500)
Cl (0.137, 0.637, 0.500)
Br (0.500, 0.500, 0.000)
Br (0.000, 0.000, 0.000)
Y (0.341, 0.841, 0.000)
Y (0.159, 0.341, 0.000)
Y (0.659, 0.159, 0.000)
Y (0.841, 0.659, 0.000)
Cl (0.363, 0.137, 0.500)
Cl (0.637, 0.863, 0.500)

magnetization: 0.00 μB per cell
mass density: 4.790 g/cm3
symmetry: No. 127


The energy of each structure relative to the most stable one, in meV per atom, is as follows: #one 0; #two 328.


#one
Entry from the Alexandria database: ZnBr2Cl after structural relaxation (PBE).

a b c (Å): 10.629 10.629 10.629
angles (deg): 19.97 19.97 19.97
Last column: magnetic moment on the atom in μB.
Positions (direct):
Br (0.034, 0.034, 0.034)  0.00
Cl (0.250, 0.250, 0.250)  0.69
Br (0.466, 0.466, 0.466)  0.00
Zn (0.750, 0.750, 0.750)  0.00

magnetization: 0.90 μB per cell
mass density: 3.532 g/cm3
symmetry: No. 166


#two
Entry from the Alexandria database: ZnBr2Cl after structural relaxation (PBE).

a b c (Å): 5.472 5.472 8.500
angles (deg): 90.00 90.00 141.09
Last column: magnetic moment on the atom in μB.
Positions (direct):
Zn (0.500, 0.500, 0.750)  0.01
Br (0.000, 0.000, 0.951)  0.10
Br (0.000, 0.000, 0.549)  0.10
Cl (0.500, 0.500, 0.250)  0.36

magnetization: 0.72 μB per cell
mass density: 2.708 g/cm3
symmetry: No. 65


The energy of each structure relative to the most stable one, in meV per atom, is as follows: #one 0; #two 62.


#one
Entry from the Alexandria database: ZnBr2Cl after structural relaxation (PBE).

a b c (Å): 3.162 7.042 7.102
angles (deg): 61.25 90.00 90.00
Last column: magnetic moment on the atom in μB.
Positions (direct):
Zn (0.500, 0.823, 0.650)  0.00
Br (0.500, 0.185, 0.328)  -0.01
Br (0.000, 0.886, 0.911)  0.07
Cl (0.000, 0.606, 0.611)  0.01

magnetization: 0.09 μB per cell
mass density: 3.122 g/cm3
symmetry: No. 6


#two
Entry from the Alexandria database: ZnBr2Cl after structural relaxation (PBE).

a b c (Å): 7.161 7.161 7.161
angles (deg): 154.37 118.20 68.03
Positions (direct):
Cl (0.605, 0.605, 0.000)
Br (0.905, 0.905, 0.000)
Zn (0.743, 0.243, 0.500)
Br (0.247, 0.747, 0.500)

magnetization: 0.00 μB per cell
mass density: 3.120 g/cm3
symmetry: No. 44


The energy of each structure relative to the most stable one, in meV per atom, is as follows: #one 0; #two 108.


#one
Entry from the Alexandria database: ZnBrCl2 after structural relaxation (PBE).

a b c (Å): 3.208 3.730 10.664
angles (deg): 82.33 90.00 90.00
Positions (direct):
Cl (0.000, 0.409, 0.391)
Zn (0.500, 0.250, 0.250)
Br (0.500, 0.750, 0.750)
Cl (0.000, 0.091, 0.109)

magnetization: 0.00 μB per cell
mass density: 2.839 g/cm3
symmetry: No. 10


#two
Entry from the Alexandria database: ZnBrCl2 after structural relaxation (PBE).

a b c (Å): 3.202 3.202 9.704
angles (deg): 90.00 90.00 90.00
Last column: magnetic moment on the atom in μB.
Positions (direct):
Cl (0.000, 0.000, 0.007)  0.40
Br (0.500, 0.500, 0.668)  0.00
Zn (0.000, 0.000, 0.485)  0.00
Cl (0.500, 0.500, 0.340)  0.00

magnetization: 0.49 μB per cell
mass density: 3.609 g/cm3
symmetry: No. 99


The energy of each structure relative to the most stable one, in meV per atom, is as follows: #one 0; #two 443.